(1)
The following is a DFT calculation (PBE) of an optimized crystal structure of K2Ga2Br.

Formation energy without anion corrections (eV/atom): -0.032
Offset from the most stable computed form (meV per atom): 622
Symmetry: I4/mmm

Lattice parameters (Å, degrees): 5.3266 5.3266 13.7012 90.00 90.00 90.00
Element x y z (fractional)
1 K 0.0000 0.5000 0.2500
2 K 0.0000 0.5000 0.7500
3 K 0.5000 0.0000 0.2500
4 K 0.5000 0.0000 0.7500
5 Ga 0.0000 0.0000 0.0894
6 Ga 0.0000 0.0000 0.9106
7 Ga 0.5000 0.5000 0.4106
8 Ga 0.5000 0.5000 0.5894
9 Br 0.0000 0.0000 0.5000
10 Br 0.5000 0.5000 0.0000

=====

(2)
The following is a DFT calculation (PBE) of an optimized crystal structure of La4FeHCl2.

Final energy (eV per atom): -5.277
Symmetry: P2/m

Lattice parameters (Å, degrees): 6.6235 3.9845 7.8723 90.00 105.61 90.00
Element x y z (fractional)
1 La 0.2433 0.0000 0.2040
2 La 0.2556 0.5000 0.7974
3 La 0.7444 0.5000 0.2026
4 La 0.7567 0.0000 0.7960
5 Fe 0.5000 0.0000 0.0000
6 H 0.0000 0.5000 0.0000
7 Cl 0.0000 0.0000 0.5000
8 Cl 0.5000 0.5000 0.5000

=====

(3)
The following is a DFT calculation (PBE) of an optimized crystal structure of Ca3Br.

Formation energy without anion corrections (eV/atom): -0.672
Offset from the most stable computed form (meV per atom): 0
Symmetry: P-6m2

Lattice parameters (Å, degrees): 3.9258 3.9258 10.7781 90.00 90.00 120.00
Element x y z (fractional)
1 Ca 0.0000 0.0000 0.0000
2 Ca 0.6667 0.3333 0.2865
3 Ca 0.6667 0.3333 0.7135
4 Br 0.0000 0.0000 0.5000

=====

(4)
The following is a DFT calculation (PBE) of an optimized crystal structure of Na5SnBi6.

Calculated formation energy (eV/atom): -0.24
Symmetry: P2/m

Lattice parameters (Å, degrees): 4.8827 9.8817 7.6847 90.00 107.52 90.00
Element x y z (fractional)
1 Na 0.0000 0.0000 0.0000
2 Na 0.3322 0.0000 0.6663
3 Na 0.3343 0.5000 0.6694
4 Na 0.6657 0.5000 0.3306
5 Na 0.6678 0.0000 0.3337
6 Sn 0.0000 0.5000 0.0000
7 Bi 0.1705 0.2506 0.3352
8 Bi 0.1705 0.7494 0.3352
9 Bi 0.5000 0.2508 0.0000
10 Bi 0.5000 0.7492 0.0000
11 Bi 0.8295 0.2506 0.6648
12 Bi 0.8295 0.7494 0.6648

=====

(5)
The following is a DFT calculation (PBE) of an optimized crystal structure of Li3Pd2Pb.

Calculated formation energy (eV/atom): -0.38
Offset from the most stable computed form (meV per atom): 11
Symmetry: C2/c

Lattice parameters (Å, degrees): 5.1920 5.1920 7.2992 98.88 98.88 94.86
Element x y z (fractional)
1 Li 0.0552 0.9448 0.7500
2 Li 0.1366 0.3224 0.0056
3 Li 0.3224 0.1366 0.5056
4 Li 0.6776 0.8634 0.4944
5 Li 0.8634 0.6776 0.9944
6 Li 0.9448 0.0552 0.2500
7 Pd 0.1296 0.6189 0.3733
8 Pd 0.3811 0.8704 0.1267
9 Pd 0.6189 0.1296 0.8733
10 Pd 0.8704 0.3811 0.6267
11 Pb 0.4071 0.5929 0.7500
12 Pb 0.5929 0.4071 0.2500

=====

(6)
The following is a DFT calculation (PBE) of an optimized crystal structure of HgBi2TeO6.

Formation energy without anion corrections (eV/atom): -0.911
Symmetry: P1

Lattice parameters (Å, degrees): 6.0400 6.0461 6.0475 61.54 61.58 61.51
Element x y z (fractional)
1 Hg 0.0000 0.0000 0.0000
2 Bi 0.2583 0.2579 0.2576
3 Bi 0.7751 0.7751 0.7755
4 Te 0.4781 0.4777 0.4788
5 O 0.1500 0.5929 0.8756
6 O 0.1519 0.6518 0.3630
7 O 0.3627 0.1522 0.6522
8 O 0.5948 0.8767 0.1483
9 O 0.6512 0.3626 0.1529
10 O 0.8758 0.1487 0.5939

=====

Number 1: magnetic moment 0.000 μB per atom. Number 2: magnetic moment 0.000 μB per atom. Number 3: magnetic moment 0.000 μB per atom. Number 4: magnetic moment 0.000 μB per atom. Number 5: magnetic moment 0.000 μB per atom. Number 6: magnetic moment 0.000 μB per atom.